# 1
Below is a geometry-optimized Pa2Be3CoNi12 structure, with properties calculated at the PBE-GGA level.

The structure in extended XYZ format:
```
18
Lattice="-1.084 4.309 4.257 -3.648 3.503 -3.505 -5.319 -2.358 2.002" Properties=species:S:1:pos:R:3 pbc="T T T"
Pa -6.810 3.695 1.866
Pa -3.241 1.758 0.888
Be -0.542 2.154 2.128
Be -1.824 1.751 -1.752
Be -2.660 -1.179 1.001
Co 0.000 0.000 0.000
Ni -6.598 0.928 2.084
Ni -5.465 5.607 1.223
Ni -7.599 2.249 0.088
Ni -4.457 4.299 3.223
Ni -6.307 2.655 3.997
Ni -5.753 3.892 -0.701
Ni -3.453 4.525 0.671
Ni -4.586 -0.154 1.531
Ni -2.452 3.205 2.667
Ni -5.594 1.154 -0.469
Ni -3.744 2.799 -1.243
Ni -4.298 1.562 3.455
```

## Properties
DOS(E_F) in states/eV per cell: 12.14
Total magnetization in μB/atom: 0.10
Space-group type: No. 166
DFT total energy in eV/atom: -5.976

=====

# 2
Below is a geometry-optimized AgIO3 structure, with properties calculated at the PBE-GGA level.

The structure in extended XYZ format:
```
20
Lattice="-7.441 -2.380 -3.868 0.367 -5.470 2.659 -3.270 2.315 4.867" Properties=species:S:1:pos:R:3 pbc="T T T"
Ag -7.842 -6.129 -0.529
Ag -2.502 0.594 4.187
Ag -4.206 -4.425 1.252
Ag -6.137 -1.110 2.406
I -7.518 -4.375 2.795
I -2.826 -1.160 0.863
I -3.993 -2.647 4.774
I -6.351 -2.888 -1.116
O -2.532 -1.558 5.010
O -7.812 -3.977 -1.352
O -6.163 -4.563 4.023
O -4.180 -0.972 -0.365
O -6.516 -3.467 1.519
O -3.828 -2.068 2.140
O -4.079 -3.261 6.527
O -6.265 -2.274 -2.869
O -5.367 -1.412 4.799
O -4.977 -4.123 -1.141
O -7.551 -6.060 2.039
O -2.792 0.525 1.620
```

## Properties
DOS(E_F) in states/eV per cell: 0.00
Raw formation energy in kJ/mol of formula units: -125
Total magnetization in μB/atom: 0.00
Space-group type: No. 14
DFT total energy in eV/atom: -4.115

=====

Which of these has the highest DOS(E_F)? Pa2Be3CoNi12